(1)
VASP calculation (PBEsol) on a relaxed BeRe2Tc crystal.

The volume comes out at 13.34 A^3/atom. Its energy is -10.30 eV/atom. As for the formation energy: 185 meV per atom. The total moment comes out at 0.00 μB per formula unit.

The space group is P1 (No. 1) and the conventional cell measures 2.7113, 4.5298 and 4.6052 Å, with angles of 98.28, 90.08 and 107.31 degrees. The asymmetric unit holds Be at (0.0000, 0.0000, 0.0000), Re at (0.2553, 0.5062, 0.7696), Re at (0.4999, 0.0018, 0.4979) and Tc at (0.7488, 0.4970, 0.2503).

=====

(2)
VASP calculation (PBEsol) on a relaxed La3Mo crystal.

The volume comes out at 25.49 A^3/atom. Its energy is -6.52 eV/atom. As for the formation energy: 428 meV per atom. The total moment comes out at 0.00 μB per formula unit.

The space group is Fm-3m (No. 225) and the conventional cell measures 7.4163, 7.4163 and 7.4163 Å, with angles of 90.00, 90.00 and 90.00 degrees. The asymmetric unit holds La at (0.0000, 0.0000, 0.0000), La at (0.2500, 0.2500, 0.2500) and Mo at (0.0000, 0.0000, 0.5000).

=====

(3)
VASP calculation (PBEsol) on a relaxed Tc2AgIr crystal.

The volume comes out at 14.40 A^3/atom. The value obtained for the offset from the most stable computed form is 0 meV per atom. Its energy is -8.55 eV/atom. As for the formation energy: 372 meV per atom. The total moment comes out at 0.00 μB per formula unit.

The space group is I4/mmm (No. 139) and the conventional cell measures 3.7595, 3.7595 and 8.1504 Å, with angles of 90.00, 90.00 and 90.00 degrees. The asymmetric unit holds Tc at (0.0000, 0.5000, 0.2500), Ag at (0.0000, 0.0000, 0.0000) and Ir at (0.0000, 0.0000, 0.5000).

=====

(4)
VASP calculation (PBEsol) on a relaxed NaPAu2 crystal.

The volume comes out at 26.47 A^3/atom. Its energy is -3.92 eV/atom. As for the formation energy: -155 meV per atom. The total moment comes out at 0.00 μB per formula unit.

The space group is I-42d (No. 122) and the conventional cell measures 5.3465, 5.3465 and 14.8158 Å, with angles of 90.00, 90.00 and 90.00 degrees. The asymmetric unit holds Na at (0.0000, 0.0000, 0.0000), P at (0.0000, 0.0000, 0.5000) and Au at (0.0786, 0.2500, 0.6250).